This record from Alexandria describes a relaxed TbPr3Ho3 crystal. The functional is PBE.

The space group is R-3 (No. 148, hexagonal axes) and the conventional cell measures 8.7618, 8.7618 and 21.7767 Å, with angles of 90.00, 90.00 and 120.00 degrees. The distinct sites, in fractional coordinates, are Tb at (0.0000, 0.0000, 0.1487), Pr at (0.0044, 0.7623, 0.5591) and Ho at (0.0582, 0.7846, 0.7136).

The value obtained for the formation energy is 257 meV/atom. The polymorph energy (0 for the lowest one) comes out at 232 meV per atom.